The following is a DFT calculation (GGA+U) of a relaxed Ba2TlFeO4 crystal.

a = 5.8226 Å, b = 5.8226 Å, c = 5.8226 Å
α = 100.69°, β = 114.03°, γ = 114.03°
Each line ends with the local moment (μB).
Atoms (fractional coordinates):
O 0.4852 0.4202 0.5010  -0.02
O 0.0808 0.0650 0.5798  -0.02
O 0.9192 0.4990 0.9841  -0.02
O 0.5148 0.0159 0.9350  -0.02
Tl 0.0000 0.5000 0.5000  0.00
Fe 0.5000 0.2500 0.7500  3.08
Ba 0.0000 0.0000 0.0000  0.01
Ba 0.5000 0.7500 0.2500  -0.01

## Properties
Electronic total energy, eV per atom: -5.61
Volume, Å³/cell: 149.3